The following is a DFT calculation (PBE) of a geometry-optimized DyBiIO6 structure.

a = 5.6771 Å, b = 5.6771 Å, c = 9.7478 Å
α = 90.00°, β = 90.00°, γ = 120.00°
Last column: nearest neighbours and their distance in Å.
Sites, in units of the cell vectors:
1 Dy 0.3333 0.6667 0.2500  6 O 2.28
2 Dy 0.6667 0.3333 0.7500  6 O 2.28
3 Bi 0.0000 0.0000 0.0000  6 O 2.41
4 Bi 0.0000 0.0000 0.5000  6 O 2.41
5 I 0.6667 0.3333 0.2500  6 O 2.02
6 I 0.3333 0.6667 0.7500  6 O 2.02
7 O 0.6641 0.6294 0.1356  1 I 2.02
8 O 0.9653 0.3359 0.1356  1 I 2.02
9 O 0.3359 0.9653 0.6356  1 I 2.02
10 O 0.0347 0.6641 0.8644  1 I 2.02
11 O 0.3706 0.3359 0.3644  1 I 2.02
12 O 0.9653 0.6294 0.3644  1 I 2.02
13 O 0.6294 0.9653 0.8644  1 I 2.02
14 O 0.6641 0.0347 0.3644  1 I 2.02
15 O 0.0347 0.3706 0.6356  1 I 2.02
16 O 0.3706 0.0347 0.1356  1 I 2.02
17 O 0.6294 0.6641 0.6356  1 I 2.02
18 O 0.3359 0.3706 0.8644  1 I 2.02

Raw total energy ... -104.636 eV per cell
Uncorrected formation energy ... -1.393 eV/atom
SG ... P-31c
Total moment ... 0.00 μB per cell

=====

The following is a DFT calculation (PBE) of a geometry-optimized Sm8Ge3Te4O structure.

a = 8.4432 Å, b = 8.6921 Å, c = 8.4448 Å
α = 119.07°, β = 119.99°, γ = 90.00°
Last column: nearest neighbours and their distance in Å.
Sites, in units of the cell vectors:
1 Sm 0.2313 0.7120 0.9807  1 O 2.80, 2 Ge 2.91
2 Sm 0.2320 0.7126 0.4640  1 O 2.81, 2 Ge 2.91
3 Sm 0.2580 0.2741 0.5161  3 Ge 2.93, 3 Te 3.14
4 Sm 0.7493 0.7120 0.9807  1 O 2.80, 2 Ge 2.91
5 Sm 0.2507 0.2880 0.0193  1 O 2.80, 2 Ge 2.91
6 Sm 0.7420 0.7259 0.4839  3 Ge 2.93, 3 Te 3.14
7 Sm 0.7680 0.2874 0.5360  1 O 2.81, 2 Ge 2.91
8 Sm 0.7687 0.2880 0.0193  1 O 2.80, 2 Ge 2.91
9 Ge 0.5000 0.5000 0.0000  6 Sm 2.91-2.93
10 Ge 0.5000 0.5000 0.5000  6 Sm 2.91-2.93
11 Ge 0.0000 0.5000 0.5000  6 Sm 2.91-2.93
12 Te 0.5000 0.0000 0.0000  6 Sm 3.26-3.27
13 Te 0.5000 0.0000 0.5000  6 Sm 3.14-3.17
14 Te 0.0000 0.0000 0.0000  6 Sm 3.14-3.17
15 Te 0.0000 0.0000 0.5000  6 Sm 3.14-3.17
16 O 0.0000 0.5000 0.0000  6 Sm 2.80-2.81

Raw total energy ... -90.932 eV per cell
Uncorrected formation energy ... -1.363 eV/atom
SG ... R-3m
Total moment ... 0.00 μB per cell

=====

The following is a DFT calculation (PBE) of a geometry-optimized Ac5Ga2 structure.

a = 7.2394 Å, b = 8.5527 Å, c = 9.8354 Å
α = 115.77°, β = 111.59°, γ = 90.00°
Last column: nearest neighbours and their distance in Å.
Sites, in units of the cell vectors:
1 Ac 0.0782 0.2330 0.1563  2 Ga 3.35-3.38, 5 Ac 3.66-3.75
2 Ac 0.9218 0.7670 0.8437  2 Ga 3.35-3.38, 5 Ac 3.66-3.75
3 Ac 0.5782 0.9233 0.1563  2 Ga 3.35-3.38, 5 Ac 3.66-3.75
4 Ac 0.4218 0.0767 0.8437  2 Ga 3.35-3.38, 5 Ac 3.66-3.75
5 Ac 0.4862 0.7362 0.4724  4 Ga 3.44-3.49, 5 Ac 3.62-3.82
6 Ac 0.0138 0.2638 0.5276  4 Ga 3.44-3.49, 5 Ac 3.62-3.82
7 Ac 0.5138 0.2638 0.5276  4 Ga 3.44-3.49, 5 Ac 3.62-3.82
8 Ac 0.9862 0.7362 0.4724  4 Ga 3.44-3.49, 5 Ac 3.62-3.82
9 Ac 0.7500 0.5000 0.0000  4 Ga 3.56, 8 Ac 3.62-3.82
10 Ac 0.2500 0.5000 0.0000  4 Ga 3.56, 8 Ac 3.62-3.82
11 Ga 0.3748 0.6446 0.7496  8 Ac 3.35-3.56
12 Ga 0.6252 0.3554 0.2504  8 Ac 3.35-3.56
13 Ga 0.8748 0.1050 0.7496  8 Ac 3.35-3.56
14 Ga 0.1252 0.8950 0.2504  8 Ac 3.35-3.56

Raw total energy ... -55.800 eV per cell
SG ... Ibam
Total moment ... 0.00 μB per cell
Formation energy from the elements ... -186 meV per atom

=====

The following is a DFT calculation (PBE) of a geometry-optimized Cs2NbTe3O12 structure.

a = 7.4387 Å, b = 7.4387 Å, c = 7.4387 Å
α = 59.80°, β = 59.80°, γ = 59.80°
Last column: nearest neighbours and their distance in Å.
Sites, in units of the cell vectors:
1 Cs 0.6266 0.6266 0.6266  6 O 3.22
2 Cs 0.3734 0.3734 0.3734  6 O 3.22
3 Nb 0.0000 0.0000 0.0000  6 O 2.01
4 Te 0.5000 0.0000 0.0000  6 O 1.96-1.99
5 Te 0.0000 0.5000 0.0000  6 O 1.96-1.99
6 Te 0.0000 0.0000 0.5000  6 O 1.96-1.99
7 O 0.3201 0.3201 0.9291  2 Te 1.99
8 O 0.9336 0.9336 0.3206  1 Te 1.96, 1 Nb 2.01
9 O 0.3206 0.9336 0.9336  1 Te 1.96, 1 Nb 2.01
10 O 0.9291 0.3201 0.3201  2 Te 1.99
11 O 0.9336 0.3206 0.9336  1 Te 1.96, 1 Nb 2.01
12 O 0.3201 0.9291 0.3201  2 Te 1.99
13 O 0.6799 0.6799 0.0709  2 Te 1.99
14 O 0.0664 0.0664 0.6794  1 Te 1.96, 1 Nb 2.01
15 O 0.6794 0.0664 0.0664  1 Te 1.96, 1 Nb 2.01
16 O 0.0709 0.6799 0.6799  2 Te 1.99
17 O 0.0664 0.6794 0.0664  1 Te 1.96, 1 Nb 2.01
18 O 0.6799 0.0709 0.6799  2 Te 1.99

Raw total energy ... -107.729 eV per cell
Uncorrected formation energy ... -1.502 eV/atom
SG ... R-3m
Total moment ... 0.00 μB per cell